NbCdIn2, optimized geometry, DFT PBE-GGA; calculated total energy = -14.50 eV/cell
1.0
0.000 3.542 3.542
3.542 0.000 3.542
3.542 3.542 0.000
Cd In Nb
1 2 1
Direct
0.500 0.500 0.500
0.000 0.000 0.000
0.250 0.250 0.250
0.750 0.750 0.750